Ba2La3Ti3NbO15 | SCAN | single point on PBEsol structure

a b c (Å): 5.6096 5.6096 23.0270
angles (deg): 90.00 90.00 120.00
Space group P3c1 (No. 158)
One atom of each set of equivalent atoms:
Ba 0.0000 0.0000 0.0000
Ba 0.3333 0.6667 0.4277
La 0.0000 0.0000 0.3262
La 0.3333 0.6667 0.1135
La 0.6667 0.3333 0.2187
Ti 0.0000 0.0000 0.1695
Ti 0.3333 0.6667 0.2682
Ti 0.6667 0.3333 0.3700
Nb 0.6667 0.3333 0.0638
O 0.0113 0.4696 0.0277
O 0.1064 0.3342 0.2153
O 0.3306 0.1375 0.4044
O 0.3382 0.1073 0.6251
O 0.4471 0.0033 0.8077

## Properties
DFT total energy, eV per atom: -19.452
DOS at the Fermi energy, states/eV per cell: 0.00